# InAu15

Crystalline InAu15 at its relaxed geometry (PBE-GGA, the Open Quantum Materials Database).

a = 8.2641 Å, b = 46.2315 Å, c = 4.1308 Å
α = 90.00°, β = 90.00°, γ = 90.00°
Last column: nearest neighbours and their distance in Å.
Space group Pccm (No. 49)
Inequivalent atoms, fractional coordinates:
In: 0.1494 0.1506 0.0000 [4 per cell]  5 Au 2.85-3.18
Au: 0.1190 0.2026 0.5000 [4 per cell]  9 Au 2.85-3.06, 2 In 3.18
Au: 0.1239 0.2501 0.0000 [4 per cell]  12 Au 2.89-3.01
Au: 0.1239 0.2958 0.5000 [4 per cell]  12 Au 2.91-2.96
Au: 0.1248 0.3414 0.0000 [4 per cell]  12 Au 2.92-2.95
Au: 0.1252 0.3867 0.5000 [4 per cell]  12 Au 2.92-2.95
Au: 0.1251 0.4320 0.0000 [4 per cell]  12 Au 2.92-2.95
Au: 0.1249 0.4773 0.5000 [4 per cell]  12 Au 2.92-2.94
Au: 0.3705 0.2058 0.0000 [4 per cell]  11 Au 2.89-2.97, 1 In 3.14
Au: 0.3738 0.2507 0.5000 [4 per cell]  12 Au 2.92-3.06
Au: 0.3743 0.2960 0.0000 [4 per cell]  12 Au 2.92-2.97
Au: 0.3747 0.3412 0.5000 [4 per cell]  12 Au 2.92-2.95
Au: 0.3754 0.3866 0.0000 [4 per cell]  12 Au 2.92-2.95
Au: 0.3750 0.4320 0.5000 [4 per cell]  12 Au 2.92-2.94
Au: 0.3750 0.4773 0.0000 [4 per cell]  12 Au 2.92-2.94
Au: 0.3824 0.1596 0.5000 [4 per cell]  6 Au 2.84-2.97, 2 In 2.85

Output
Electronic total energy, eV per cell: -206.1
Density, g/cm³: 12.9
Polymorph energy (0 for the lowest one), meV per atom: 5.6